Compound: ErNbAs2
Source: Alexandria
Functional: PBE
Structure: optimized geometry

Results
- D(E_F): 0.3 states/eV/cell
- Energy above the most stable polymorph in this dataset: 0.0000 eV per atom
- Symmetry: R3m, No. 160
- Energy of formation: -3.93 eV/f.u.

Cell lengths 3.7759, 3.7759, 7.0657 Å; angles 74.50, 74.50, 60.00 degrees
Fractional coordinates of all 4 atoms:
Er 0.6707 0.6707 0.9878
Nb 0.4968 0.4968 0.5096
As 0.0898 0.0898 0.7307
As 0.2427 0.2427 0.2719